Density functional theory data (PBE) for a relaxed structure of Cs3YGe.

Lattice parameters (Å, degrees): 7.126 7.126 7.126 90.00 90.00 90.00
Sites, in units of the cell vectors:
Cs: 0.000 0.500 0.000
Cs: 0.000 0.000 0.500
Cs: 0.500 0.000 0.000
Y: 0.000 0.000 0.000
Ge: 0.500 0.500 0.500

Output
ΔE_f ... 1.15 eV per atom
Calculated total energy ... -1.580 eV per atom
Space group ... Pm-3m, No. 221